! MnPPb2 GGA-PBE relaxed; values from VASP
&SYSTEM
  ibrav = 0, nat = 8, ntyp = 3
/
ATOMIC_SPECIES
Mn 54.94 Mn.upf
P 30.97 P.upf
Pb 207.20 Pb.upf
CELL_PARAMETERS angstrom
-3.304 3.304 5.750
3.304 -3.304 5.750
3.304 3.304 -5.750
ATOMIC_POSITIONS crystal
Mn 0.000 0.000 0.000
Mn 0.750 0.250 0.500
P 0.250 0.750 0.500
P 0.500 0.500 0.000
Pb 0.136 0.625 0.011
Pb 0.375 0.386 0.511
Pb 0.614 0.125 0.989
Pb 0.875 0.864 0.489
! Energy of formation (eV/atom): 0.571
! Space-group type: No. 122
! Calculated volume (Å³/cell): 251
! Energy (eV/atom): -4.928
! Total magnetization (μB/cell): 8.0

---

! MnPPb2 GGA-PBE relaxed; values from VASP
&SYSTEM
  ibrav = 0, nat = 4, ntyp = 3
/
ATOMIC_SPECIES
Mn 54.94 Mn.upf
P 30.97 P.upf
Pb 207.20 Pb.upf
CELL_PARAMETERS angstrom
-1.705 1.714 7.998
1.705 -1.714 7.998
1.705 1.714 -7.998
ATOMIC_POSITIONS crystal
Mn 0.000 0.000 0.000
P 0.500 0.500 0.000
Pb 0.163 0.663 0.500
Pb 0.837 0.337 0.500
! Energy of formation (eV/atom): 0.055
! Space-group type: No. 71
! Calculated volume (Å³/cell): 94
! Energy (eV/atom): -5.444
! Total magnetization (μB/cell): 3.3

---

! MnPPb GGA-PBE relaxed; values from VASP
&SYSTEM
  ibrav = 0, nat = 3, ntyp = 3
/
ATOMIC_SPECIES
Mn 54.94 Mn.upf
P 30.97 P.upf
Pb 207.20 Pb.upf
CELL_PARAMETERS angstrom
-1.608 1.608 5.733
1.608 -1.608 5.733
1.608 1.608 -5.733
ATOMIC_POSITIONS crystal
Mn 0.000 0.000 0.000
P 0.566 0.566 0.000
Pb 0.298 0.298 0.000
! Energy of formation (eV/atom): 0.040
! Space-group type: No. 107
! Distance to the lowest polymorph of the same formula (meV per atom): 9
! Calculated volume (Å³/cell): 59
! Energy (eV/atom): -6.056
! Total magnetization (μB/cell): 3.0

---

! MnPPb2 GGA-PBE relaxed; values from VASP
&SYSTEM
  ibrav = 0, nat = 4, ntyp = 3
/
ATOMIC_SPECIES
Mn 54.94 Mn.upf
P 30.97 P.upf
Pb 207.20 Pb.upf
CELL_PARAMETERS angstrom
3.238 0.000 0.000
0.000 3.238 0.000
0.000 0.000 8.433
ATOMIC_POSITIONS crystal
Mn 0.000 0.000 0.000
P 0.500 0.500 0.083
Pb 0.000 0.000 0.361
Pb 0.500 0.500 0.731
! Energy of formation (eV/atom): 0.047
! Space-group type: No. 99
! Calculated volume (Å³/cell): 88
! Energy (eV/atom): -5.452
! Total magnetization (μB/cell): 2.2